DFT (PBE) results for Rb2NaReSe4 after structural relaxation.

Calculated values
Fermi-level density of states ... 1.620 states/eV/cell
Total energy ... -70.05 eV for the cell shown
E_form (uncorrected) ... -673 meV/atom
Magnetic moment ... 4.0 μB per cell

```
data_Rb2NaReSe4
_cell_length_a 8.122
_cell_length_b 8.122
_cell_length_c 8.744
_cell_angle_alpha 90.00
_cell_angle_beta 90.00
_cell_angle_gamma 90.00
_symmetry_space_group_name_H-M 'I -4'
_symmetry_Int_Tables_number 82
_symmetry_space_group_name_Hall 'I -4'
loop_
_atom_site_label
_atom_site_fract_x
_atom_site_fract_y
_atom_site_fract_z
Rb1 0.000 0.000 0.000
Rb2 0.000 0.500 0.250
Na1 0.000 0.000 0.500
Re1 0.000 0.500 0.750
Se1 0.145 0.695 0.601
```